# 1
The following is a PBE calculation of an optimized crystal structure of NbNi2Te6, from the Alexandria database. Values from VASP.

Summary:
formation energy from raw total energies = -0.159 eV/atom
total DFT energy (no corrections) = -41.91 eV per formula unit

Structure (Quantum ESPRESSO input):
```
&SYSTEM
  ibrav = 0, nat = 18, ntyp = 3
/
ATOMIC_SPECIES
Nb 92.91 Nb.upf
Ni 58.69 Ni.upf
Te 127.60 Te.upf
CELL_PARAMETERS angstrom
6.288 -6.807 0.000
6.288 6.807 0.000
-2.042 0.000 5.169
ATOMIC_POSITIONS angstrom
Nb 4.757 5.887 3.877
Nb 5.778 -5.887 1.292
Ni 2.940 1.296 4.634
Ni 3.961 -1.296 2.049
Ni 6.573 1.296 3.121
Ni 7.595 -1.296 0.536
Te 0.451 1.099 3.875
Te 2.830 3.866 4.377
Te 1.472 -1.099 1.291
Te 4.208 1.235 2.173
Te 6.683 3.866 3.377
Te 3.187 -1.235 4.758
Te 7.347 1.235 0.412
Te 3.851 -3.866 1.793
Te 6.326 -1.235 2.997
Te 9.062 1.099 3.879
Te 7.704 -3.866 0.792
Te 10.083 -1.099 1.294
```

# 2
The following is a PBE calculation of an optimized crystal structure of Cs3InPb2Cl9, from the Alexandria database. Values from VASP.

Summary:
formation energy from raw total energies = -1.466 eV/atom
total DFT energy (no corrections) = -51.32 eV per formula unit

Structure (Quantum ESPRESSO input):
```
&SYSTEM
  ibrav = 0, nat = 15, ntyp = 4
/
ATOMIC_SPECIES
Cs 132.91 Cs.upf
In 114.82 In.upf
Pb 207.20 Pb.upf
Cl 35.45 Cl.upf
CELL_PARAMETERS angstrom
7.980 0.000 0.000
-3.990 6.911 0.000
0.000 0.000 9.767
ATOMIC_POSITIONS angstrom
Cs 0.000 0.000 0.000
Cs 0.000 4.607 6.535
Cs 3.990 2.304 3.232
In 0.000 0.000 4.883
Pb 0.000 4.607 1.700
Pb 3.990 2.304 8.067
Cl -1.995 3.455 0.000
Cl 0.000 2.230 3.293
Cl -2.058 5.795 3.293
Cl 1.931 1.115 6.474
Cl 3.990 0.000 0.000
Cl 1.995 3.455 0.000
Cl 2.058 5.795 3.293
Cl 6.048 1.115 6.474
Cl 3.990 4.680 6.474
```

# 3
The following is a PBE calculation of an optimized crystal structure of SrYb2S4, from the Alexandria database. Values from VASP.

Summary:
formation energy from raw total energies = -1.721 eV/atom
total DFT energy (no corrections) = -33.29 eV per formula unit

Structure (Quantum ESPRESSO input):
```
&SYSTEM
  ibrav = 0, nat = 14, ntyp = 3
/
ATOMIC_SPECIES
Sr 87.62 Sr.upf
Yb 173.04 Yb.upf
S 32.06 S.upf
CELL_PARAMETERS angstrom
-4.248 4.248 4.283
4.248 -4.248 4.283
4.248 4.248 -4.283
ATOMIC_POSITIONS angstrom
Sr 0.000 0.000 0.000
Sr 0.000 4.248 2.142
Yb 2.124 3.216 -1.071
Yb 5.280 2.124 1.071
Yb 2.124 1.032 3.213
Yb -1.032 2.124 5.354
S 2.819 0.640 0.549
S 4.888 2.819 -1.593
S 3.608 -1.429 3.734
S -0.640 1.429 2.691
S 0.640 5.677 -0.549
S 2.819 3.608 1.593
S 1.429 0.640 5.876
S 1.429 3.608 4.833
```

# 4
The following is a PBE calculation of an optimized crystal structure of CsMnPt3, from the Alexandria database. Values from VASP.

Summary:
formation energy = 2.7238 eV/atom
total DFT energy (no corrections) = -14.53 eV per formula unit

Structure (Quantum ESPRESSO input):
```
&SYSTEM
  ibrav = 0, nat = 5, ntyp = 3
/
ATOMIC_SPECIES
Cs 132.91 Cs.upf
Mn 54.94 Mn.upf
Pt 195.08 Pt.upf
CELL_PARAMETERS angstrom
5.146 0.000 0.000
0.000 5.146 0.000
0.000 0.000 5.146
ATOMIC_POSITIONS angstrom
Cs 0.000 0.000 0.000
Mn 2.573 2.573 2.573
Pt 0.000 0.000 2.573
Pt 0.000 2.573 0.000
Pt 2.573 0.000 0.000
```